Entry 1:
Material: CsUCrS4
Method: DFT, PBE
State: relaxed

```
data_CsUCrS4
_cell_length_a 6.489
_cell_length_b 6.532
_cell_length_c 9.552
_cell_angle_alpha 90.00
_cell_angle_beta 109.03
_cell_angle_gamma 90.00
_symmetry_space_group_name_H-M 'P 1 21/m 1'
_symmetry_Int_Tables_number 11
_symmetry_space_group_name_Hall '-P 2yb'
loop_
_atom_site_label
_atom_site_type_symbol
_atom_site_fract_x
_atom_site_fract_y
_atom_site_fract_z
Cs1 Cs 0.234 0.250 0.442
U1 U 0.273 0.250 0.952
Cr1 Cr 0.276 0.750 0.157
S1 S 0.049 0.750 0.928
S2 S 0.061 0.750 0.300
S3 S 0.482 0.506 0.813
```

The formation energy from raw total energies comes out at -1112.6 meV/atom. For the density of states at the Fermi level, the calculation gives 12.345 states/eV/cell. Its total energy is -6.5805 eV/atom.

Entry 2:
Material: Ce8Os3PtBr4
Method: DFT, PBE
State: relaxed

```
data_Ce8Os3PtBr4
_cell_length_a 8.1966
_cell_length_b 8.1966
_cell_length_c 22.9188
_cell_angle_alpha 90.00
_cell_angle_beta 90.00
_cell_angle_gamma 120.00
_symmetry_space_group_name_H-M 'R -3 m'
_symmetry_Int_Tables_number 166
_symmetry_space_group_name_Hall '-R 3 2"'
loop_
_atom_site_label
_atom_site_type_symbol
_atom_site_fract_x
_atom_site_fract_y
_atom_site_fract_z
Ce1 Ce 0.0000 0.0000 0.2323
Ce2 Ce 0.0104 0.5052 0.7676
Os1 Os 0.0000 0.5000 0.5000
Pt1 Pt 0.0000 0.0000 0.5000
Br1 Br 0.0000 0.0000 0.0000
Br2 Br 0.0000 0.5000 0.0000
```

The formation energy from raw total energies comes out at -858.0 meV/atom. For the density of states at the Fermi level, the calculation gives 130.236 states/eV/cell. Its total energy is -6.7262 eV/atom.

Entry 3:
Material: CsBaGa2
Method: DFT, PBE
State: relaxed

```
data_CsBaGa2
_cell_length_a 8.447
_cell_length_b 8.447
_cell_length_c 8.447
_cell_angle_alpha 90.00
_cell_angle_beta 90.00
_cell_angle_gamma 90.00
_symmetry_space_group_name_H-M 'F m -3 m'
_symmetry_Int_Tables_number 225
_symmetry_space_group_name_Hall '-F 4 2 3'
loop_
_atom_site_label
_atom_site_type_symbol
_atom_site_fract_x
_atom_site_fract_y
_atom_site_fract_z
Cs1 Cs 0.000 0.000 0.000
Ba1 Ba 0.000 0.000 0.500
Ga1 Ga 0.250 0.250 0.250
```

For the density of states at the Fermi level, the calculation gives 12.877 states/eV/cell. The calculated formation energy is 0.26 eV per formula unit. Its total energy is -2.1416 eV/atom.